Here is MnBe3F after structural relaxation from Alexandria via LeMat-Bulk. Energies are from PBE+U.

a = 4.3592 Å, b = 4.3592 Å, c = 4.3592 Å
α = 90.00°, β = 90.00°, γ = 90.00°
Atoms (fractional coordinates):
F: 0.5000 0.5000 0.5000
Be: 0.0000 0.5000 0.0000
Be: 0.5000 0.0000 0.0000
Be: 0.0000 0.0000 0.5000
Mn: 0.0000 0.0000 0.0000

Computed properties:
For the energy, the calculation gives -14.4 eV for the cell shown.